Version 1
Here is a relaxed structure of CuPPt3 from Alexandria via LeMat-Bulk. Energies are from GGA-PBE.

Unit cell a=4.4748 b=4.4748 c=4.4748 alpha=90.00 beta=90.00 gamma=90.00
Last column: nearest neighbours and their distance in Å.
Space group Pm-3m (No. 221)
Asymmetric unit:
Cu  0.0000  0.0000  0.0000 [1 per cell]  12 Pt 3.16
P  0.5000  0.5000  0.5000 [1 per cell]  6 Pt 2.24
Pt  0.0000  0.5000  0.5000 [3 per cell]  2 P 2.24


Version 2
Here is a relaxed structure of CuPPt3 from Alexandria via LeMat-Bulk. Energies are from GGA-PBE.

Unit cell a=4.5620 b=4.5620 c=4.5620 alpha=90.00 beta=90.00 gamma=90.00
Last column: nearest neighbours and their distance in Å.
Space group Pm-3m (No. 221)
Asymmetric unit:
Cu  0.0000  0.0000  0.0000 [1 per cell]  6 Pt 2.28
P  0.5000  0.5000  0.5000 [1 per cell]  12 Pt 3.23
Pt  0.0000  0.0000  0.5000 [3 per cell]  2 Cu 2.28


Taking the most stable structure as the zero point, the relative energies in kJ/mol of atoms are version 1 0.0; version 2 92.9.